No. 1
Density functional theory data (GGA-PBE) for an optimized crystal structure of Y3HoSc.

Computed properties:
DOS(E_F)	30.63	states/eV/cell
calculated density	5.14	g/cm³
calculated volume	30.8	Å³/atom
polymorph energy (0 for the lowest one)	0.0	meV per atom

Cell: 8.601 6.410 11.704 Å, 90.00 107.48 90.00°
Space group P2_1/c (No. 14)
One atom of each set of equivalent atoms:
Y 0.078 0.078 0.277 (multiplicity 4)
Y 0.200 0.552 0.505 (multiplicity 4)
Y 0.414 0.719 0.311 (multiplicity 4)
Ho 0.203 0.062 0.590 (multiplicity 4)
Sc 0.439 0.208 0.409 (multiplicity 4)

---

No. 2
Density functional theory data (GGA-PBE) for an optimized crystal structure of Y6Ho12Sc.

Computed properties:
raw total energy	-4.890	eV per atom
DOS(E_F)	75.61	states/eV/cell
calculated density	6.72	g/cm³
calculated volume	33.3	Å³/atom

Cell: 16.3466 16.3466 8.1965 Å, 90.00 90.00 120.00°
Space group R-3m (No. 166, hexagonal axes)
One atom of each set of equivalent atoms:
Y 0.1055 0.2110 0.0802 (multiplicity 18)
Ho 0.0000 0.3818 0.0000 (multiplicity 18)
Ho 0.1054 0.2108 0.6308 (multiplicity 18)
Sc 0.0000 0.0000 0.5000 (multiplicity 3)

---

No. 3
Density functional theory data (GGA-PBE) for an optimized crystal structure of YHo3Sc6.

Computed properties:
DOS(E_F)	64.52	states/eV/cell
calculated density	5.09	g/cm³
calculated volume	27.9	Å³/atom
polymorph energy (0 for the lowest one)	245.9	meV per atom

Cell: 9.2452 9.2452 11.2918 Å, 90.00 90.00 120.00°
Space group R3 (No. 146, hexagonal axes)
One atom of each set of equivalent atoms:
Y 0.0000 0.0000 0.0000 (multiplicity 3)
Ho 0.0000 0.0000 0.2548 (multiplicity 3)
Ho 0.0000 0.0000 0.4999 (multiplicity 3)
Ho 0.0000 0.0000 0.7538 (multiplicity 3)
Sc 0.0031 0.6682 0.7723 (multiplicity 9)
Sc 0.0055 0.3358 0.2694 (multiplicity 9)

---

No. 4
Density functional theory data (GGA-PBE) for an optimized crystal structure of Y2Ho5Sc5.

Computed properties:
raw total energy	-5.569	eV per atom
DOS(E_F)	36.82	states/eV/cell
calculated density	5.99	g/cm³
calculated volume	28.4	Å³/atom

Cell: 14.501 4.831 10.853 Å, 90.00 116.48 90.00°
Space group C2/m (No. 12)
One atom of each set of equivalent atoms:
Y 0.083 0.000 0.246 (multiplicity 4)
Ho 0.000 0.500 0.000 (multiplicity 2)
Ho 0.088 0.500 0.752 (multiplicity 4)
Ho 0.164 0.500 0.500 (multiplicity 4)
Sc 0.000 0.000 0.500 (multiplicity 2)
Sc 0.171 0.000 0.001 (multiplicity 4)
Sc 0.249 0.000 0.753 (multiplicity 4)

---

No. 5
Density functional theory data (GGA-PBE) for an optimized crystal structure of YHoSc5.

Computed properties:
raw total energy	-5.722	eV per atom
DOS(E_F)	12.41	states/eV/cell
calculated density	4.01	g/cm³
calculated volume	28.3	Å³/atom

Cell: 5.103 5.103 7.612 Å, 90.00 90.00 90.00°
Space group P4/mmm (No. 123)
One atom of each set of equivalent atoms:
Y 0.000 0.000 0.000 (multiplicity 1)
Ho 0.500 0.500 0.500 (multiplicity 1)
Sc 0.000 0.500 0.274 (multiplicity 4)
Sc 0.500 0.500 0.000 (multiplicity 1)

---

No. 6
Density functional theory data (GGA-PBE) for an optimized crystal structure of Y12Ho6Sc.

Computed properties:
raw total energy	-5.715	eV per atom
DOS(E_F)	99.10	states/eV/cell
calculated density	5.61	g/cm³
calculated volume	32.7	Å³/atom

Cell: 12.9560 12.9560 12.8355 Å, 90.00 90.00 120.00°
Space group R-3m (No. 166, hexagonal axes)
One atom of each set of equivalent atoms:
Y 0.0000 0.2624 0.0000 (multiplicity 18)
Y 0.0521 0.5260 0.1151 (multiplicity 18)
Ho 0.0897 0.1793 0.7739 (multiplicity 18)
Sc 0.0000 0.0000 0.0000 (multiplicity 3)

---

No. 7
Density functional theory data (GGA-PBE) for an optimized crystal structure of Y2Ho5Sc4.

Computed properties:
DOS(E_F)	36.21	states/eV/cell
calculated density	6.09	g/cm³
calculated volume	29.3	Å³/atom
polymorph energy (0 for the lowest one)	75.2	meV per atom

Cell: 11.827 6.586 10.102 Å, 90.00 124.92 90.00°
Space group C2/m (No. 12)
One atom of each set of equivalent atoms:
Y 0.075 0.000 0.261 (multiplicity 4)
Ho 0.000 0.500 0.000 (multiplicity 2)
Ho 0.158 0.231 0.668 (multiplicity 8)
Sc 0.099 0.500 0.369 (multiplicity 4)
Sc 0.244 0.000 0.028 (multiplicity 4)

---

No. 8
Density functional theory data (GGA-PBE) for an optimized crystal structure of Y3Ho3Sc.

Computed properties:
DOS(E_F)	30.09	states/eV/cell
calculated density	6.19	g/cm³
calculated volume	30.9	Å³/atom
polymorph energy (0 for the lowest one)	0.0	meV per atom

Cell: 9.4688 9.4688 5.5754 Å, 90.00 90.00 120.00°
Space group P6_3/m (No. 176)
One atom of each set of equivalent atoms:
Y 0.0969 0.4768 0.2500 (multiplicity 6)
Ho 0.0514 0.2401 0.7500 (multiplicity 6)
Sc 0.3333 0.6667 0.7500 (multiplicity 2)

---

No. 9
Density functional theory data (GGA-PBE) for an optimized crystal structure of YHo2Sc4.

Computed properties:
DOS(E_F)	25.33	states/eV/cell
calculated density	5.17	g/cm³
calculated volume	27.5	Å³/atom
polymorph energy (0 for the lowest one)	0.0	meV per atom

Cell: 6.359 8.037 8.729 Å, 65.66 72.08 77.55°
Space group P1 (No. 1)
One atom of each set of equivalent atoms:
Y 0.000 0.000 0.000 (multiplicity 1)
Y 0.259 0.959 0.307 (multiplicity 1)
Ho 0.116 0.386 0.020 (multiplicity 1)
Ho 0.151 0.569 0.288 (multiplicity 1)
Ho 0.860 0.427 0.713 (multiplicity 1)
Ho 0.966 0.814 0.733 (multiplicity 1)
Sc 0.305 0.149 0.569 (multiplicity 1)
Sc 0.400 0.524 0.590 (multiplicity 1)
Sc 0.445 0.721 0.853 (multiplicity 1)
Sc 0.530 0.096 0.874 (multiplicity 1)
Sc 0.589 0.291 0.145 (multiplicity 1)
Sc 0.671 0.663 0.168 (multiplicity 1)
Sc 0.718 0.859 0.433 (multiplicity 1)
Sc 0.812 0.237 0.452 (multiplicity 1)

---

No. 10
Density functional theory data (GGA-PBE) for an optimized crystal structure of Y6Ho5Sc2.

Computed properties:
raw total energy	-5.573	eV per atom
DOS(E_F)	42.97	states/eV/cell
calculated density	5.87	g/cm³
calculated volume	31.5	Å³/atom

Cell: 10.587 22.139 3.493 Å, 90.00 90.00 90.00°
Space group Pbam (No. 55)
One atom of each set of equivalent atoms:
Y 0.036 0.112 0.000 (multiplicity 4)
Y 0.135 0.384 0.000 (multiplicity 4)
Y 0.166 0.640 0.500 (multiplicity 4)
Ho 0.000 0.500 0.500 (multiplicity 2)
Ho 0.086 0.249 0.500 (multiplicity 4)
Ho 0.166 0.989 0.500 (multiplicity 4)
Sc 0.164 0.773 0.000 (multiplicity 4)

---

No. 11
Density functional theory data (GGA-PBE) for an optimized crystal structure of Y2Ho3Sc.

Computed properties:
DOS(E_F)	46.49	states/eV/cell
calculated density	6.56	g/cm³
calculated volume	30.3	Å³/atom
polymorph energy (0 for the lowest one)	0.0	meV per atom

Cell: 6.0896 6.0896 33.9178 Å, 90.00 90.00 120.00°
Space group R-3c (No. 167, hexagonal axes)
One atom of each set of equivalent atoms:
Y 0.0000 0.0000 0.1671 (multiplicity 12)
Ho 0.0000 0.3386 0.2500 (multiplicity 18)
Sc 0.0000 0.0000 0.0000 (multiplicity 6)

---

No. 12
Density functional theory data (GGA-PBE) for an optimized crystal structure of Y2Ho5Sc.

Computed properties:
DOS(E_F)	20.64	states/eV/cell
calculated density	7.16	g/cm³
calculated volume	30.4	Å³/atom
polymorph energy (0 for the lowest one)	19.4	meV per atom

Cell: 7.009 14.028 4.944 Å, 90.00 90.00 90.00°
Space group Pbam (No. 55)
One atom of each set of equivalent atoms:
Y 0.248 0.123 0.000 (multiplicity 4)
Ho 0.000 0.500 0.500 (multiplicity 2)
Ho 0.001 0.752 0.500 (multiplicity 4)
Ho 0.249 0.876 0.000 (multiplicity 4)
Sc 0.000 0.000 0.500 (multiplicity 2)

---

> Among the records above, which one has the lowest calculated volume?

YHo2Sc4